Version 1
Below is a geometry-optimized AlSbW2 structure, with properties calculated at the PBEsol level.

abc: 4.0460 4.0460 4.9464
angles: 114.14 114.14 90.00
Last column: nearest neighbours and their distance in Å.
Atoms (fractional coordinates):
Sb  0.2500  0.7500  0.5000  8 W 2.86, 4 Al 2.86
Al  0.5000  0.5000  0.0000  8 W 2.86, 4 Sb 2.86
W  0.0000  0.0000  0.0000  4 W 2.86, 4 Sb 2.86, 4 Al 2.86
W  0.7500  0.2500  0.5000  4 W 2.86, 4 Al 2.86, 4 Sb 2.86

Computed properties:
The value obtained for the total moment is 0.00 μB/f.u.

=====

Version 2
Below is a geometry-optimized AlSbW2 structure, with properties calculated at the PBEsol level.

abc: 3.3601 3.3601 5.9438
angles: 90.00 90.00 90.00
Last column: nearest neighbours and their distance in Å.
Atoms (fractional coordinates):
Sb  0.5000  0.5000  0.5000  8 W 2.91, 2 Al 2.97
Al  0.5000  0.5000  0.0000  8 W 2.70, 2 Sb 2.97
W  0.0000  0.0000  0.7833  1 W 2.58, 4 Al 2.70
W  0.0000  0.0000  0.2167  1 W 2.58, 4 Al 2.70

Computed properties:
The value obtained for the total moment is 0.00 μB/f.u.

=====

Version 3
Below is a geometry-optimized AlSbW2 structure, with properties calculated at the PBEsol level.

abc: 3.9469 3.9469 9.8900
angles: 101.51 101.51 90.00
Last column: nearest neighbours and their distance in Å.
Atoms (fractional coordinates):
Sb  0.2500  0.7500  0.5000  4 Al 2.79, 4 W 2.81
Sb  0.0000  0.0000  0.0000  4 Al 2.79, 4 W 2.81
Al  0.7500  0.2500  0.5000  4 W 2.70, 4 Sb 2.79
Al  0.5000  0.5000  0.0000  4 W 2.70, 4 Sb 2.79
W  0.8338  0.3750  0.2500  2 W 2.57, 2 Al 2.70, 2 Sb 2.81
W  0.4162  0.8750  0.2500  2 W 2.57, 2 Al 2.70, 2 Sb 2.81
W  0.6250  0.5838  0.7500  2 W 2.57, 2 Al 2.70, 2 Sb 2.81
W  0.1250  0.1662  0.7500  2 W 2.57, 2 Al 2.70, 2 Sb 2.81

Computed properties:
The value obtained for the total moment is 0.00 μB/f.u.

=====

Result of the stability comparison: version 1 is the most stable of them.

=====

Version 1
Below is a geometry-optimized Sc2AlSe structure, with properties calculated at the PBEsol level.

abc: 3.4828 3.4828 9.1699
angles: 79.05 79.05 60.00
Last column: nearest neighbours and their distance in Å.
Atoms (fractional coordinates):
Sc  0.8950  0.8950  0.3149  3 Se 2.61, 1 Al 2.82
Sc  0.1050  0.1050  0.6851  3 Se 2.61, 1 Al 2.82
Al  0.0000  0.0000  0.0000  2 Sc 2.82
Se  0.5000  0.5000  0.5000  6 Sc 2.61

Computed properties:
The value obtained for the total moment is 0.00 μB/f.u.

=====

Version 2
Below is a geometry-optimized Sc2AlSe structure, with properties calculated at the PBEsol level.

abc: 3.8763 3.8763 5.5144
angles: 90.00 90.00 90.00
Last column: nearest neighbours and their distance in Å.
Atoms (fractional coordinates):
Sc  0.0000  0.0000  0.8747  4 Al 2.74, 2 Se 2.76
Sc  0.5000  0.5000  0.3752  4 Se 2.74, 2 Al 2.76
Al  0.5000  0.5000  0.8752  6 Sc 2.74-2.76
Se  0.0000  0.0000  0.3749  6 Sc 2.74-2.76

Computed properties:
The value obtained for the total moment is 0.00 μB/f.u.

=====

Result of the stability comparison: version 2 is the most stable of them.

=====

Version 1
Below is a geometry-optimized Sc2AlTc structure, with properties calculated at the PBEsol level.

abc: 4.6229 4.6229 4.6229
angles: 60.00 60.00 60.00
Last column: nearest neighbours and their distance in Å.
Atoms (fractional coordinates):
Sc  0.2500  0.2500  0.2500  4 Al 2.83, 4 Tc 2.83
Sc  0.7500  0.7500  0.7500  4 Tc 2.83, 4 Al 2.83
Tc  0.0000  0.0000  0.0000  8 Sc 2.83
Al  0.5000  0.5000  0.5000  8 Sc 2.83

Computed properties:
The value obtained for the total moment is 0.00 μB/f.u.

=====

Version 2
Below is a geometry-optimized Sc2AlTc structure, with properties calculated at the PBEsol level.

abc: 3.3202 3.3202 6.4277
angles: 90.00 90.00 90.00
Last column: nearest neighbours and their distance in Å.
Atoms (fractional coordinates):
Sc  0.0000  0.0000  0.0223  4 Tc 2.77, 1 Sc 2.93, 4 Al 2.93
Sc  0.0000  0.0000  0.4777  4 Tc 2.77, 1 Sc 2.93, 4 Al 2.93
Tc  0.5000  0.5000  0.2500  8 Sc 2.77
Al  0.5000  0.5000  0.7500  8 Sc 2.93, 2 Tc 3.21

Computed properties:
The value obtained for the total moment is 0.00 μB/f.u.

=====

Version 3
Below is a geometry-optimized Sc2AlTc structure, with properties calculated at the PBEsol level.

abc: 3.4035 4.5275 5.4194
angles: 114.65 108.30 90.00
Last column: nearest neighbours and their distance in Å.
Atoms (fractional coordinates):
Sc  0.9940  0.9938  0.9881  4 Tc 2.84, 4 Al 3.02-3.11, 4 Sc 3.06-3.07
Sc  0.7694  0.2696  0.5388  2 Tc 2.82, 4 Al 2.86, 4 Sc 3.06-3.07
Tc  0.5128  0.5126  0.0256  2 Al 2.59, 6 Sc 2.82-2.84
Al  0.2238  0.7239  0.4475  2 Tc 2.59, 4 Sc 2.86

Computed properties:
The value obtained for the total moment is 0.00 μB/f.u.

=====

Result of the stability comparison: version 2 is the most stable of them.

=====

Version 1
Below is a geometry-optimized Ta2AlSe structure, with properties calculated at the PBEsol level.

abc: 3.1588 4.7351 4.8338
angles: 96.69 109.07 90.00
Last column: nearest neighbours and their distance in Å.
Atoms (fractional coordinates):
Al  0.5000  0.0000  0.0000  6 Ta 2.70-2.89, 4 Se 2.85
Se  0.0000  0.5000  0.0000  6 Ta 2.70-2.92, 4 Al 2.85
Ta  0.2484  0.2451  0.4968  3 Se 2.70-2.92, 3 Al 2.70-2.89, 4 Ta 2.81-2.88
Ta  0.7516  0.7549  0.5032  3 Se 2.70-2.92, 3 Al 2.70-2.89, 4 Ta 2.81-2.88

Computed properties:
The value obtained for the total moment is 0.00 μB/f.u.

=====

Version 2
Below is a geometry-optimized Ta2AlSe structure, with properties calculated at the PBEsol level.

abc: 2.9278 2.9278 8.8410
angles: 90.00 90.00 105.75
Last column: nearest neighbours and their distance in Å.
Atoms (fractional coordinates):
Al  0.0000  0.0000  0.5249  2 Ta 2.70, 4 Al 2.93
Se  0.5000  0.5000  0.2183  2 Ta 2.61
Ta  0.0000  0.0000  0.0014  2 Se 2.61, 2 Ta 2.80
Ta  0.5000  0.5000  0.7555  2 Al 2.70, 6 Ta 2.80-2.93

Computed properties:
The value obtained for the total moment is 0.00 μB/f.u.

=====

Version 3
Below is a geometry-optimized Ta2AlSe structure, with properties calculated at the PBEsol level.

abc: 4.5836 4.5836 4.5836
angles: 60.00 60.00 60.00
Last column: nearest neighbours and their distance in Å.
Atoms (fractional coordinates):
Al  0.5000  0.5000  0.5000  4 Ta 2.81, 4 Se 2.81
Se  0.2500  0.2500  0.2500  4 Al 2.81, 4 Ta 2.81
Ta  0.0000  0.0000  0.0000  4 Se 2.81, 4 Ta 2.81
Ta  0.7500  0.7500  0.7500  4 Ta 2.81, 4 Al 2.81

Computed properties:
The value obtained for the total moment is 0.00 μB/f.u.

=====

Version 4
Below is a geometry-optimized Ta2AlSe structure, with properties calculated at the PBEsol level.

abc: 3.0317 3.0317 8.7269
angles: 80.00 80.00 60.00
Last column: nearest neighbours and their distance in Å.
Atoms (fractional coordinates):
Al  0.5000  0.5000  0.5000  6 Ta 2.87, 6 Al 3.03
Se  0.0000  0.0000  0.0000  6 Ta 2.66
Ta  0.2554  0.2554  0.2338  3 Se 2.66, 3 Al 2.87
Ta  0.7446  0.7446  0.7662  3 Se 2.66, 3 Al 2.87

Computed properties:
The value obtained for the total moment is 0.00 μB/f.u.

=====

Result of the stability comparison: version 4 is the most stable of them.

=====

Version 1
Below is a geometry-optimized Y2AlSe structure, with properties calculated at the PBEsol level.

abc: 3.8561 3.8561 7.8942
angles: 75.86 75.86 60.00
Last column: nearest neighbours and their distance in Å.
Atoms (fractional coordinates):
Y  0.7446  0.7446  0.7662  3 Se 2.84, 3 Al 3.00
Y  0.2554  0.2554  0.2338  3 Se 2.84, 3 Al 3.00
Al  0.5000  0.5000  0.5000  6 Y 3.00
Se  0.0000  0.0000  0.0000  6 Y 2.84

Computed properties:
The value obtained for the total moment is 0.00 μB/f.u.

=====

Version 2
Below is a geometry-optimized Y2AlSe structure, with properties calculated at the PBEsol level.

abc: 3.6010 4.5353 6.5788
angles: 110.16 105.88 90.00
Last column: nearest neighbours and their distance in Å.
Atoms (fractional coordinates):
Y  0.9641  0.9641  0.9281  2 Se 2.93, 4 Al 3.02
Y  0.7298  0.2298  0.4596  4 Se 2.93, 2 Al 3.21
Al  0.5372  0.5372  0.0745  6 Y 3.02-3.21, 2 Se 3.28
Se  0.2689  0.7689  0.5378  6 Y 2.93

Computed properties:
The value obtained for the total moment is 0.00 μB/f.u.

=====

Version 3
Below is a geometry-optimized Y2AlSe structure, with properties calculated at the PBEsol level.

abc: 3.4225 3.4225 7.6983
angles: 90.00 90.00 90.00
Last column: nearest neighbours and their distance in Å.
Atoms (fractional coordinates):
Y  0.0000  0.0000  0.2374  4 Se 3.03, 4 Al 3.15
Y  0.0000  0.0000  0.7626  4 Se 3.03, 4 Al 3.15
Al  0.5000  0.5000  0.5000  8 Y 3.15, 4 Al 3.42
Se  0.5000  0.5000  0.0000  8 Y 3.03

Computed properties:
The value obtained for the total moment is 0.00 μB/f.u.

=====

Result of the stability comparison: version 1 is the most stable of them.

=====

Version 1
Below is a geometry-optimized AlSiTc2 structure, with properties calculated at the PBEsol level.

abc: 2.9818 4.1976 4.1976
angles: 90.00 90.00 90.00
Last column: nearest neighbours and their distance in Å.
Atoms (fractional coordinates):
Si  0.5000  0.0000  0.0000  8 Tc 2.57
Tc  0.0000  0.0000  0.5000  4 Al 2.57, 4 Si 2.57
Tc  0.0000  0.5000  0.0000  4 Al 2.57, 4 Si 2.57
Al  0.5000  0.5000  0.5000  8 Tc 2.57

Computed properties:
The value obtained for the total moment is 0.00 μB/f.u.

=====

Version 2
Below is a geometry-optimized AlSiTc2 structure, with properties calculated at the PBEsol level.

abc: 3.6833 3.6833 4.7659
angles: 112.73 112.73 90.00
Last column: nearest neighbours and their distance in Å.
Atoms (fractional coordinates):
Si  0.2500  0.7500  0.5000  8 Tc 2.60-2.72, 4 Al 2.72
Tc  0.0000  0.0000  0.0000  4 Al 2.60, 4 Tc 2.72, 4 Si 2.72
Tc  0.7500  0.2500  0.5000  4 Si 2.60, 4 Tc 2.72, 4 Al 2.72
Al  0.5000  0.5000  0.0000  8 Tc 2.60-2.72, 4 Si 2.72

Computed properties:
The value obtained for the total moment is 0.00 μB/f.u.

=====

Result of the stability comparison: version 1 is the most stable of them.

=====

Version 1
Below is a geometry-optimized AlSiTc2 structure, with properties calculated at the PBEsol level.

abc: 2.8644 4.3640 4.8086
angles: 102.53 90.00 109.16
Last column: nearest neighbours and their distance in Å.
Atoms (fractional coordinates):
Si  0.5000  0.0000  0.0000  6 Tc 2.48-2.66
Tc  0.7626  0.5251  0.7667  3 Si 2.48-2.66, 3 Al 2.57-2.67, 2 Tc 2.71
Tc  0.2374  0.4749  0.2333  3 Si 2.48-2.66, 3 Al 2.57-2.67, 2 Tc 2.71
Al  0.0000  0.0000  0.5000  6 Tc 2.57-2.67, 4 Si 2.80, 2 Al 2.86

Computed properties:
The value obtained for the total moment is 0.00 μB/f.u.

=====

Version 2
Below is a geometry-optimized AlSiTc2 structure, with properties calculated at the PBEsol level.

abc: 4.2467 4.2467 4.2467
angles: 60.00 60.00 60.00
Last column: nearest neighbours and their distance in Å.
Atoms (fractional coordinates):
Si  0.2500  0.2500  0.2500  4 Tc 2.60, 4 Al 2.60
Tc  0.0000  0.0000  0.0000  4 Si 2.60, 4 Tc 2.60
Tc  0.7500  0.7500  0.7500  4 Tc 2.60, 4 Al 2.60
Al  0.5000  0.5000  0.5000  4 Tc 2.60, 4 Si 2.60

Computed properties:
The value obtained for the total moment is 0.00 μB/f.u.

=====

Result of the stability comparison: version 1 is the most stable of them.

=====

Version 1
Below is a geometry-optimized Al2TlSi structure, with properties calculated at the PBEsol level.

abc: 3.6504 4.5816 4.5816
angles: 90.00 90.00 90.00
Last column: nearest neighbours and their distance in Å.
Atoms (fractional coordinates):
Tl  0.5000  0.0000  0.0000  8 Al 2.93, 4 Si 3.24
Si  0.5000  0.5000  0.5000  8 Al 2.93, 4 Tl 3.24
Al  0.0000  0.0000  0.5000  4 Tl 2.93, 4 Si 2.93, 4 Al 3.24
Al  0.0000  0.5000  0.0000  4 Tl 2.93, 4 Si 2.93, 4 Al 3.24

Computed properties:
The value obtained for the total moment is 0.00 μB/f.u.

=====

Version 2
Below is a geometry-optimized Al2TlSi structure, with properties calculated at the PBEsol level.

abc: 3.1767 3.1767 7.7837
angles: 90.00 90.00 90.00
Last column: nearest neighbours and their distance in Å.
Atoms (fractional coordinates):
Tl  0.5000  0.5000  0.7444  4 Tl 3.18, 4 Si 3.25, 4 Al 3.26
Si  0.0000  0.0000  0.4434  4 Al 2.65
Al  0.0000  0.0000  0.0489  4 Al 2.80, 1 Si 3.07
Al  0.5000  0.5000  0.2633  4 Si 2.65, 4 Al 2.80

Computed properties:
The value obtained for the total moment is 0.00 μB/f.u.

=====

Result of the stability comparison: version 2 is the most stable of them.